{"formula": "Cu2W2O7", "functional": "PBE with a Hubbard U", "state": "optimized geometry", "cell": [[6.397, 0.000, 0.000], [-0.267, 7.126, 0.000], [-0.584, -1.980, 6.840]], "species": ["Cu", "Cu", "Cu", "Cu", "W", "W", "W", "W", "O", "O", "O", "O", "O", "O", "O", "O", "O", "O", "O", "O", "O", "O"], "fractional_positions": [[0.193, 0.168, 0.202], [0.226, 0.713, 0.827], [0.774, 0.287, 0.173], [0.807, 0.832, 0.798], [0.198, 0.104, 0.677], [0.245, 0.682, 0.318], [0.755, 0.318, 0.682], [0.802, 0.896, 0.323], [0.062, 0.340, 0.671], [0.127, 0.992, 0.363], [0.222, 0.139, 0.936], [0.233, 0.653, 0.057], [0.254, 0.821, 0.619], [0.295, 0.442, 0.334], [0.464, 0.197, 0.642], [0.536, 0.803, 0.358], [0.705, 0.558, 0.666], [0.746, 0.179, 0.381], [0.767, 0.347, 0.943], [0.778, 0.861, 0.064], [0.873, 0.008, 0.637], [0.938, 0.660, 0.329]], "mass_density_g_cm3": 6.5, "dft_energy_ev_per_cell": -147.29}